# 1
The following is a DFT calculation (PBE) of a relaxed La3BiC crystal.

Lattice parameters (Å, degrees): 5.2821 7.8916 7.3312 90.00 102.75 90.00
Closest atoms and distances in Å follow each position.
Space group P2_1/m (No. 11)
Asymmetric unit:
La: 0.0178 0.2500 0.0692 (multiplicity 2)  2 C 2.64-2.68
La: 0.4139 0.0195 0.7562 (multiplicity 4)  2 C 2.64-2.65
Bi: 0.1294 0.7500 0.4017 (multiplicity 2)  7 La 3.37-3.44
C: 0.5003 0.2500 0.0243 (multiplicity 2)  6 La 2.64-2.68

Properties
Energy of formation from the pure elements: -0.43 eV per atom
Crystal system: monoclinic

# 2
The following is a DFT calculation (PBE) of a relaxed LaBi3C crystal.

Lattice parameters (Å, degrees): 6.2003 6.2003 6.2003 90.00 90.00 90.00
Closest atoms and distances in Å follow each position.
Space group Pm-3m (No. 221)
Asymmetric unit:
La: 0.0000 0.0000 0.0000 (multiplicity 1)  6 Bi 3.10
Bi: 0.0000 0.0000 0.5000 (multiplicity 3)  2 La 3.10
C: 0.5000 0.5000 0.5000 (multiplicity 1)  12 Bi 4.38

Properties
Energy of formation from the pure elements: 1.86 eV per atom
Crystal system: cubic

# 3
The following is a DFT calculation (PBE) of a relaxed La2BiC2 crystal.

Lattice parameters (Å, degrees): 14.5803 4.4773 7.8195 90.00 102.16 90.00
Closest atoms and distances in Å follow each position.
Space group C2/c (No. 15)
Asymmetric unit:
La: 0.1432 0.1918 0.1304 (multiplicity 8)  3 C 2.61-2.87
Bi: 0.0000 0.3020 0.7500 (multiplicity 4)  6 La 3.29-3.35
C: 0.2379 0.3557 0.5476 (multiplicity 8)  1 C 1.30

Properties
Energy of formation from the pure elements: -0.44 eV per atom
Crystal system: monoclinic

# 4
The following is a DFT calculation (PBE) of a relaxed La3BiC crystal.

Lattice parameters (Å, degrees): 7.1596 15.4423 5.1939 90.00 90.00 90.00
Closest atoms and distances in Å follow each position.
Space group Cmmm (No. 65)
Asymmetric unit:
La: 0.0000 0.1349 0.0000 (multiplicity 4)  2 C 2.61
La: 0.2479 0.0000 0.5000 (multiplicity 4)  2 C 2.55
La: 0.2500 0.2500 0.5000 (multiplicity 4)  2 C 2.71
Bi: 0.0000 0.3639 0.0000 (multiplicity 4)  11 La 3.54-3.80
C: 0.0000 0.1187 0.5000 (multiplicity 4)  6 La 2.55-2.71

Properties
Energy of formation from the pure elements: -0.50 eV per atom
Crystal system: orthorhombic